Run P
Computed, not measured: Hg2ICl after structural relaxation at the PBE level of DFT.

Cell: 6.9778 6.9778 8.4697 Å, 65.67 65.67 90.00°
Positions (direct):
I 0.0000 0.0000 0.0000
I 0.7500 0.2500 0.5000
Hg 0.5954 0.1250 0.2500
Hg 0.1546 0.6250 0.2500
Hg 0.8750 0.8454 0.7500
Hg 0.3750 0.4046 0.7500
Cl 0.5000 0.5000 0.0000
Cl 0.2500 0.7500 0.5000

Computed properties:
Total magnetization in μB/cell: 0.00
Space-group type: No. 122
Fermi-level density of states in states/eV per cell: 7.702

=====

Run Q
Computed, not measured: Hg2ICl after structural relaxation at the PBE level of DFT.

Cell: 5.3899 5.3899 5.3899 Å, 60.00 60.00 60.00°
Positions (direct):
Hg 0.2500 0.2500 0.2500
Hg 0.7500 0.7500 0.7500
Cl 0.0000 0.0000 0.0000
I 0.5000 0.5000 0.5000

Computed properties:
Total magnetization in μB/cell: 0.00
Space-group type: No. 225
Fermi-level density of states in states/eV per cell: 2.170

=====

On energetic grounds, run P is preferred over the next structure by 13 meV/atom.